Density functional theory data (meta-GGA SCAN) for a PBEsol-optimized structure of Sr2Ag2Sn.

Lattice parameters (Å, degrees): 8.033 8.033 4.215 90.00 90.00 90.00
Fractional coordinates of all 10 atoms:
Sr1 0.181 0.319 0.000
Sr2 0.319 0.819 0.000
Sr3 0.681 0.181 0.000
Sr4 0.819 0.681 0.000
Ag1 0.120 0.620 0.500
Ag2 0.380 0.120 0.500
Ag3 0.620 0.880 0.500
Ag4 0.880 0.380 0.500
Sn1 0.000 0.000 0.500
Sn2 0.500 0.500 0.500

Calculated values
As for the total magnetization: 0.0 μB per cell. Its uncorrected energy is -29.0619 eV per atom. Its formation energy is -0.421 eV/atom. Its density of states at the Fermi level is 0.3982 states/eV per atom.

Density functional theory data (meta-GGA SCAN) for a PBEsol-optimized structure of HgPt2W.

Lattice parameters (Å, degrees): 4.876 4.876 4.991 98.33 98.33 33.36
Fractional coordinates of all 4 atoms:
Hg1 0.000 0.000 0.000
Pt1 0.505 0.505 0.511
Pt2 0.754 0.754 0.224
W1 0.246 0.246 0.698

Calculated values
As for the total magnetization: 0.0 μB per cell. Its uncorrected energy is -69.4363 eV per atom. Its formation energy is 0.124 eV/atom. Its density of states at the Fermi level is 0.5278 states/eV per atom.

Density functional theory data (meta-GGA SCAN) for a PBEsol-optimized structure of InTeCl.

Lattice parameters (Å, degrees): 7.116 7.383 8.385 90.00 118.81 90.00
Fractional coordinates of all 12 atoms:
In1 0.022 0.210 0.388
In2 0.022 0.290 0.888
In3 0.978 0.710 0.112
In4 0.978 0.790 0.612
Te1 0.234 0.627 0.947
Te2 0.234 0.873 0.447
Te3 0.766 0.127 0.553
Te4 0.766 0.373 0.053
Cl1 0.306 0.088 0.083
Cl2 0.306 0.412 0.583
Cl3 0.694 0.588 0.417
Cl4 0.694 0.912 0.917

Calculated values
As for the total magnetization: 0.0 μB per cell. Its uncorrected energy is -26.9602 eV per atom. Its density of states at the Fermi level is 0.0000 states/eV per atom. As for the uncorrected formation energy: -2.27 eV per formula unit.

Density functional theory data (meta-GGA SCAN) for a PBEsol-optimized structure of YMg2CoSe.

Lattice parameters (Å, degrees): 4.738 4.738 4.880 90.00 90.00 90.00
Fractional coordinates of all 5 atoms:
Y1 0.000 0.000 0.000
Mg1 0.000 0.500 0.500
Mg2 0.500 0.000 0.500
Co1 0.000 0.000 0.500
Se1 0.500 0.500 0.000

Calculated values
As for the total magnetization: 0.0 μB per cell. Its uncorrected energy is -15.1814 eV per atom. Its density of states at the Fermi level is 0.5967 states/eV per atom. As for the uncorrected formation energy: -0.73 eV per formula unit.

Density functional theory data (meta-GGA SCAN) for a PBEsol-optimized structure of NaRuS2Cl.

Lattice parameters (Å, degrees): 4.789 4.789 4.704 90.00 90.00 90.00
Fractional coordinates of all 5 atoms:
Na1 0.000 0.000 0.000
Ru1 0.500 0.500 0.500
S1 0.000 0.500 0.000
S2 0.500 0.000 0.000
Cl1 0.000 0.000 0.500

Calculated values
As for the total magnetization: 5.9 μB per cell. Its uncorrected energy is -12.2955 eV per atom. Its density of states at the Fermi level is 0.5731 states/eV per atom. As for the uncorrected formation energy: 4.80 eV per formula unit.

Density functional theory data (meta-GGA SCAN) for a PBEsol-optimized structure of BaPb2IF5.

Lattice parameters (Å, degrees): 5.987 5.987 9.900 90.00 90.00 90.00
Fractional coordinates of all 18 atoms:
Ba1 0.250 0.750 0.000
Ba2 0.750 0.250 0.000
Pb1 0.250 0.250 0.268
Pb2 0.250 0.250 0.689
Pb3 0.750 0.750 0.311
Pb4 0.750 0.750 0.732
I1 0.250 0.750 0.500
I2 0.750 0.250 0.500
F1 0.014 0.014 0.819
F2 0.014 0.486 0.819
F3 0.250 0.250 0.035
F4 0.486 0.014 0.819
F5 0.486 0.486 0.819
F6 0.514 0.514 0.181
F7 0.514 0.986 0.181
F8 0.750 0.750 0.965
F9 0.986 0.514 0.181
F10 0.986 0.986 0.181

Calculated values
As for the total magnetization: 0.0 μB per cell. Its uncorrected energy is -30.0145 eV per atom. Its density of states at the Fermi level is 0.0000 states/eV per atom. As for the uncorrected formation energy: -24.58 eV per formula unit.

Density functional theory data (meta-GGA SCAN) for a PBEsol-optimized structure of Ba5Si3.

Lattice parameters (Å, degrees): 8.346 8.346 16.433 90.00 90.00 90.00
Fractional coordinates of all 32 atoms:
Ba1 0.053 0.581 0.108
Ba2 0.053 0.919 0.608
Ba3 0.081 0.553 0.392
Ba4 0.081 0.947 0.892
Ba5 0.250 0.250 0.220
Ba6 0.250 0.250 0.720
Ba7 0.419 0.553 0.892
Ba8 0.419 0.947 0.392
Ba9 0.447 0.581 0.608
Ba10 0.447 0.919 0.108
Ba11 0.553 0.081 0.892
Ba12 0.553 0.419 0.392
Ba13 0.581 0.053 0.608
Ba14 0.581 0.447 0.108
Ba15 0.750 0.750 0.280
Ba16 0.750 0.750 0.780
Ba17 0.919 0.053 0.108
Ba18 0.919 0.447 0.608
Ba19 0.947 0.081 0.392
Ba20 0.947 0.419 0.892
Si1 0.148 0.648 0.750
Si2 0.148 0.852 0.250
Si3 0.250 0.250 0.012
Si4 0.250 0.250 0.512
Si5 0.352 0.648 0.250
Si6 0.352 0.852 0.750
Si7 0.648 0.148 0.250
Si8 0.648 0.352 0.750
Si9 0.750 0.750 0.488
Si10 0.750 0.750 0.988
Si11 0.852 0.148 0.750
Si12 0.852 0.352 0.250

Calculated values
As for the total magnetization: 1.0 μB per cell. Its uncorrected energy is -28.8654 eV per atom. Its density of states at the Fermi level is 0.3495 states/eV per atom. As for the uncorrected formation energy: -3.13 eV per formula unit.

Density functional theory data (meta-GGA SCAN) for a PBEsol-optimized structure of Tl2FeAs.

Lattice parameters (Å, degrees): 3.144 3.144 8.391 90.00 90.00 90.00
Fractional coordinates of all 4 atoms:
Tl1 0.000 0.000 0.000
Tl2 0.500 0.500 0.346
Fe1 0.000 0.000 0.602
As1 0.500 0.500 0.710

Calculated values
As for the total magnetization: 2.1 μB per cell. Its uncorrected energy is -45.5828 eV per atom. Its formation energy is 0.176 eV/atom. The offset from the most stable computed form comes out at 0 meV/atom. Its density of states at the Fermi level is 0.5117 states/eV per atom.

Density functional theory data (meta-GGA SCAN) for a PBEsol-optimized structure of Li2MnCu3O8.

Lattice parameters (Å, degrees): 8.164 8.164 8.164 90.00 90.00 90.00
Fractional coordinates of all 56 atoms:
Li1 0.003 0.497 0.503
Li2 0.247 0.747 0.753
Li3 0.253 0.253 0.253
Li4 0.497 0.503 0.003
Li5 0.503 0.003 0.497
Li6 0.747 0.753 0.247
Li7 0.753 0.247 0.747
Li8 0.997 0.997 0.997
Mn1 0.125 0.875 0.375
Mn2 0.375 0.125 0.875
Mn3 0.625 0.625 0.625
Mn4 0.875 0.375 0.125
Cu1 0.121 0.625 0.129
Cu2 0.125 0.371 0.879
Cu3 0.129 0.121 0.625
Cu4 0.371 0.879 0.125
Cu5 0.375 0.629 0.379
Cu6 0.379 0.375 0.629
Cu7 0.621 0.875 0.871
Cu8 0.625 0.129 0.121
Cu9 0.629 0.379 0.375
Cu10 0.871 0.621 0.875
Cu11 0.875 0.871 0.621
Cu12 0.879 0.125 0.371
O1 0.106 0.383 0.119
O2 0.109 0.609 0.891
O3 0.117 0.881 0.606
O4 0.119 0.106 0.383
O5 0.131 0.867 0.144
O6 0.133 0.644 0.369
O7 0.141 0.359 0.641
O8 0.144 0.131 0.867
O9 0.356 0.869 0.367
O10 0.359 0.641 0.141
O11 0.367 0.356 0.869
O12 0.369 0.133 0.644
O13 0.381 0.894 0.883
O14 0.383 0.119 0.106
O15 0.391 0.391 0.391
O16 0.394 0.617 0.619
O17 0.606 0.117 0.881
O18 0.609 0.891 0.109
O19 0.617 0.619 0.394
O20 0.619 0.394 0.617
O21 0.631 0.633 0.856
O22 0.633 0.856 0.631
O23 0.641 0.141 0.359
O24 0.644 0.369 0.133
O25 0.856 0.631 0.633
O26 0.859 0.859 0.859
O27 0.867 0.144 0.131
O28 0.869 0.367 0.356
O29 0.881 0.606 0.117
O30 0.883 0.381 0.894
O31 0.891 0.109 0.609
O32 0.894 0.883 0.381

Calculated values
As for the total magnetization: 32.0 μB per cell. Its uncorrected energy is -9.7722 eV per atom. Its density of states at the Fermi level is 0.4435 states/eV per atom. As for the uncorrected formation energy: -18.33 eV per formula unit.

Density functional theory data (meta-GGA SCAN) for a PBEsol-optimized structure of CrTcAg2.

Lattice parameters (Å, degrees): 2.580 2.580 8.712 90.00 90.00 90.00
Fractional coordinates of all 4 atoms:
Cr1 0.000 0.000 0.000
Tc1 0.000 0.000 0.500
Ag1 0.500 0.500 0.242
Ag2 0.500 0.500 0.758

Calculated values
As for the total magnetization: 0.0 μB per cell. Its uncorrected energy is -28.3396 eV per atom. Its formation energy is 0.705 eV/atom. Its density of states at the Fermi level is 0.7538 states/eV per atom.

Density functional theory data (meta-GGA SCAN) for a PBEsol-optimized structure of Ca3TaCl.

Lattice parameters (Å, degrees): 5.246 5.246 5.246 90.00 90.00 90.00
Fractional coordinates of all 5 atoms:
Ca1 0.000 0.000 0.500
Ca2 0.000 0.500 0.000
Ca3 0.500 0.000 0.000
Ta1 0.500 0.500 0.500
Cl1 0.000 0.000 0.000

Calculated values
As for the total magnetization: 3.9 μB per cell. Its uncorrected energy is -20.6161 eV per atom. Its density of states at the Fermi level is 0.1907 states/eV per atom. As for the uncorrected formation energy: 0.47 eV per formula unit.

Density functional theory data (meta-GGA SCAN) for a PBEsol-optimized structure of TlNiS2Cl.

Lattice parameters (Å, degrees): 4.461 4.461 4.840 90.00 90.00 90.00
Fractional coordinates of all 5 atoms:
Tl1 0.000 0.000 0.000
Ni1 0.500 0.500 0.500
S1 0.000 0.500 0.500
S2 0.500 0.000 0.500
Cl1 0.500 0.500 0.000

Calculated values
As for the total magnetization: 1.9 μB per cell. Its uncorrected energy is -23.2660 eV per atom. The offset from the most stable computed form comes out at 0 meV/atom. Its density of states at the Fermi level is 0.8847 states/eV per atom. As for the uncorrected formation energy: -0.56 eV per formula unit.

Density functional theory data (meta-GGA SCAN) for a PBEsol-optimized structure of ScMo3As.

Lattice parameters (Å, degrees): 4.592 4.592 4.592 90.00 90.00 90.00
Fractional coordinates of all 5 atoms:
Sc1 0.000 0.000 0.000
Mo1 0.000 0.500 0.500
Mo2 0.500 0.000 0.500
Mo3 0.500 0.500 0.000
As1 0.500 0.500 0.500

Calculated values
As for the total magnetization: 0.0 μB per cell. Its uncorrected energy is -27.0825 eV per atom. Its formation energy is 0.734 eV/atom. The offset from the most stable computed form comes out at 0 meV/atom. Its density of states at the Fermi level is 0.9166 states/eV per atom.

Density functional theory data (meta-GGA SCAN) for a PBEsol-optimized structure of NbReF2.

Lattice parameters (Å, degrees): 9.596 9.596 9.596 16.55 16.55 16.55
Fractional coordinates of all 4 atoms:
Nb1 0.000 0.000 0.000
Re1 0.500 0.500 0.500
F1 0.068 0.068 0.068
F2 0.932 0.932 0.932

Calculated values
As for the total magnetization: 1.0 μB per cell. Its uncorrected energy is -28.4193 eV per atom. Its density of states at the Fermi level is 0.7340 states/eV per atom. As for the uncorrected formation energy: -2.37 eV per formula unit.

Density functional theory data (meta-GGA SCAN) for a PBEsol-optimized structure of AlNiAu.

Lattice parameters (Å, degrees): 2.833 2.833 6.087 90.00 90.00 120.00
Fractional coordinates of all 3 atoms:
Al1 0.000 0.000 0.000
Ni1 0.333 0.667 0.289
Au1 0.667 0.333 0.642

Calculated values
As for the total magnetization: 0.0 μB per cell. Its uncorrected energy is -31.2695 eV per atom. Its formation energy is -0.242 eV/atom. Its density of states at the Fermi level is 0.4499 states/eV per atom.

Density functional theory data (meta-GGA SCAN) for a PBEsol-optimized structure of CrMoP2.

Lattice parameters (Å, degrees): 5.841 5.841 5.841 149.26 149.02 44.21
Fractional coordinates of all 4 atoms:
Cr1 0.000 0.000 0.000
Mo1 0.248 0.748 0.500
P1 0.576 0.576 0.000
P2 0.840 0.340 0.500

Calculated values
As for the total magnetization: 1.6 μB per cell. Its uncorrected energy is -19.0471 eV per atom. Its formation energy is -0.530 eV/atom. The offset from the most stable computed form comes out at 0 meV/atom. Its density of states at the Fermi level is 0.4997 states/eV per atom.

Density functional theory data (meta-GGA SCAN) for a PBEsol-optimized structure of TiSnN3.

Lattice parameters (Å, degrees): 4.002 4.002 4.002 90.00 90.00 90.00
Fractional coordinates of all 5 atoms:
Ti1 0.000 0.000 0.000
Sn1 0.500 0.500 0.500
N1 0.000 0.500 0.500
N2 0.500 0.000 0.500
N3 0.500 0.500 0.000

Calculated values
As for the total magnetization: 1.0 μB per cell. Its uncorrected energy is -14.8232 eV per atom. Its density of states at the Fermi level is 0.4144 states/eV per atom. As for the uncorrected formation energy: 5.71 eV per formula unit.

Density functional theory data (meta-GGA SCAN) for a PBEsol-optimized structure of AlSbP2.

Lattice parameters (Å, degrees): 4.453 3.739 4.888 90.00 105.36 90.00
Fractional coordinates of all 4 atoms:
Al1 0.000 0.000 0.000
Sb1 0.500 0.000 0.500
P1 0.286 0.500 0.825
P2 0.714 0.500 0.175

Calculated values
As for the total magnetization: 0.0 μB per cell. Its uncorrected energy is -16.5075 eV per atom. The offset from the most stable computed form comes out at 43 meV/atom. Its density of states at the Fermi level is 0.2272 states/eV per atom. As for the uncorrected formation energy: -0.22 eV per formula unit.

Density functional theory data (meta-GGA SCAN) for a PBEsol-optimized structure of BSbAsSe2.

Lattice parameters (Å, degrees): 4.511 4.511 4.427 90.00 90.00 90.00
Fractional coordinates of all 5 atoms:
B1 0.000 0.000 0.000
Sb1 0.500 0.500 0.500
As1 0.000 0.000 0.500
Se1 0.000 0.500 0.000
Se2 0.500 0.000 0.000

Calculated values
As for the total magnetization: 0.0 μB per cell. Its uncorrected energy is -20.3359 eV per atom. Its density of states at the Fermi level is 0.5284 states/eV per atom. As for the uncorrected formation energy: 3.36 eV per formula unit.

Density functional theory data (meta-GGA SCAN) for a PBEsol-optimized structure of In2Hg2Cl.

Lattice parameters (Å, degrees): 8.074 8.074 3.930 90.00 90.00 90.00
Fractional coordinates of all 10 atoms:
In1 0.178 0.322 0.000
In2 0.322 0.822 0.000
In3 0.678 0.178 0.000
In4 0.822 0.678 0.000
Hg1 0.131 0.631 0.500
Hg2 0.369 0.131 0.500
Hg3 0.631 0.869 0.500
Hg4 0.869 0.369 0.500
Cl1 0.000 0.000 0.000
Cl2 0.500 0.500 0.000

Calculated values
As for the total magnetization: 0.0 μB per cell. Its uncorrected energy is -42.5145 eV per atom. Its density of states at the Fermi level is 0.2543 states/eV per atom. As for the uncorrected formation energy: -1.49 eV per formula unit.

Density functional theory data (meta-GGA SCAN) for a PBEsol-optimized structure of SiNi3F.

Lattice parameters (Å, degrees): 4.166 4.166 4.166 90.00 90.00 90.00
Fractional coordinates of all 5 atoms:
Si1 0.000 0.000 0.000
Ni1 0.000 0.000 0.500
Ni2 0.000 0.500 0.000
Ni3 0.500 0.000 0.000
F1 0.500 0.500 0.500

Calculated values
As for the total magnetization: 0.4 μB per cell. Its uncorrected energy is -11.9232 eV per atom. Its density of states at the Fermi level is 0.8119 states/eV per atom. As for the uncorrected formation energy: 2.46 eV per formula unit.

Density functional theory data (meta-GGA SCAN) for a PBEsol-optimized structure of RuRhPb.

Lattice parameters (Å, degrees): 3.001 3.001 6.509 90.00 90.00 120.00
Fractional coordinates of all 3 atoms:
Ru1 0.000 0.000 0.000
Rh1 0.667 0.333 0.295
Pb1 0.333 0.667 0.647

Calculated values
As for the total magnetization: 0.0 μB per cell. Its uncorrected energy is -47.5412 eV per atom. Its formation energy is 0.585 eV/atom. Its density of states at the Fermi level is 0.8851 states/eV per atom.

Density functional theory data (meta-GGA SCAN) for a PBEsol-optimized structure of CaTaS2Cl.

Lattice parameters (Å, degrees): 5.062 5.062 4.757 90.00 90.00 90.00
Fractional coordinates of all 5 atoms:
Ca1 0.000 0.000 0.000
Ta1 0.500 0.500 0.500
S1 0.000 0.500 0.000
S2 0.500 0.000 0.000
Cl1 0.000 0.000 0.500

Calculated values
As for the total magnetization: 2.0 μB per cell. Its uncorrected energy is -20.4316 eV per atom. Its density of states at the Fermi level is 0.3512 states/eV per atom. As for the uncorrected formation energy: 1.32 eV per formula unit.